*one*
# NaTbNO

An optimized crystal structure of NaTbNO (PBE, OQMD via LeMat-Bulk).

Structure (CIF):
```
data_NaTbNO
_chemical_formula_sum 'Na4 Tb4 N4 O4'
_symmetry_space_group_name_H-M 'P c a 21'
_symmetry_Int_Tables_number 29
_symmetry_space_group_name_Hall 'P 2c -2ac'
_cell_length_a 6.444
_cell_length_b 7.668
_cell_length_c 5.840
_cell_angle_alpha 90.00
_cell_angle_beta 90.00
_cell_angle_gamma 90.00
loop_
_atom_site_label
_atom_site_fract_x
_atom_site_fract_y
_atom_site_fract_z
_atom_site_occupancy
Na1 0.065 0.111 0.000 1
Tb1 0.071 0.623 0.963 1
N1 0.090 0.154 0.600 1
O1 0.107 0.605 0.587 1
```

---

*two*
# NaTbNO

An optimized crystal structure of NaTbNO (PBE, OQMD via LeMat-Bulk).

Structure (CIF):
```
data_NaTbNO
_chemical_formula_sum 'Na1 Tb1 N1 O1'
_symmetry_space_group_name_H-M 'P 4/m m m'
_symmetry_Int_Tables_number 123
_symmetry_space_group_name_Hall '-P 4 2'
_cell_length_a 3.457
_cell_length_b 3.457
_cell_length_c 4.620
_cell_angle_alpha 90.00
_cell_angle_beta 90.00
_cell_angle_gamma 90.00
loop_
_atom_site_label
_atom_site_fract_x
_atom_site_fract_y
_atom_site_fract_z
_atom_site_occupancy
Na1 0.000 0.000 0.000 1
Tb1 0.500 0.500 0.500 1
N1 0.000 0.000 0.500 1
O1 0.500 0.500 0.000 1
```

---

*two* takes first place; second place is 19.8 kJ/mol of atoms up.

---

*one*
# NaZnNO

An optimized crystal structure of NaZnNO (PBE, OQMD via LeMat-Bulk).

Structure (CIF):
```
data_NaZnNO
_chemical_formula_sum 'Na2 Zn2 N2 O2'
_symmetry_space_group_name_H-M 'P m c 21'
_symmetry_Int_Tables_number 26
_symmetry_space_group_name_Hall 'P 2c -2'
_cell_length_a 3.246
_cell_length_b 6.289
_cell_length_c 5.033
_cell_angle_alpha 90.00
_cell_angle_beta 90.00
_cell_angle_gamma 90.00
loop_
_atom_site_label
_atom_site_fract_x
_atom_site_fract_y
_atom_site_fract_z
_atom_site_occupancy
Na1 0.000 0.249 0.000 1
Zn1 0.500 0.261 0.494 1
N1 0.500 0.494 0.750 1
O1 0.000 0.109 0.475 1
```

---

*two*
# NaZnNO

An optimized crystal structure of NaZnNO (PBE, OQMD via LeMat-Bulk).

Structure (CIF):
```
data_NaZnNO
_chemical_formula_sum 'Na2 Zn2 N2 O2'
_symmetry_space_group_name_H-M 'P 4/n m m'
_symmetry_Int_Tables_number 129
_cell_length_a 4.036
_cell_length_b 4.036
_cell_length_c 6.998
_cell_angle_alpha 90.00
_cell_angle_beta 90.00
_cell_angle_gamma 90.00
loop_
_symmetry_equiv_pos_as_xyz
'x,y,z'
'-x,-y,-z'
'-y+1/2,x,z'
'y+1/2,-x,-z'
'-x+1/2,-y+1/2,z'
'x+1/2,y+1/2,-z'
'y,-x+1/2,z'
'-y,x+1/2,-z'
'x+1/2,-y,-z'
'-x+1/2,y,z'
'-y,-x,-z'
'y,x,z'
'-x,y+1/2,-z'
'x,-y+1/2,z'
'y+1/2,x+1/2,-z'
'-y+1/2,-x+1/2,z'
loop_
_atom_site_label
_atom_site_fract_x
_atom_site_fract_y
_atom_site_fract_z
_atom_site_occupancy
Na1 0.250 0.750 0.000 1
Zn1 0.250 0.250 0.418 1
N1 0.250 0.250 0.146 1
O1 0.250 0.750 0.500 1
```

---

*three*
# NaZnNO

An optimized crystal structure of NaZnNO (PBE, OQMD via LeMat-Bulk).

Structure (CIF):
```
data_NaZnNO
_chemical_formula_sum 'Na2 Zn2 N2 O2'
_symmetry_space_group_name_H-M 'P 4/n m m'
_symmetry_Int_Tables_number 129
_cell_length_a 3.536
_cell_length_b 3.536
_cell_length_c 8.641
_cell_angle_alpha 90.00
_cell_angle_beta 90.00
_cell_angle_gamma 90.00
loop_
_symmetry_equiv_pos_as_xyz
'x,y,z'
'-x,-y,-z'
'-y+1/2,x,z'
'y+1/2,-x,-z'
'-x+1/2,-y+1/2,z'
'x+1/2,y+1/2,-z'
'y,-x+1/2,z'
'-y,x+1/2,-z'
'x+1/2,-y,-z'
'-x+1/2,y,z'
'-y,-x,-z'
'y,x,z'
'-x,y+1/2,-z'
'x,-y+1/2,z'
'y+1/2,x+1/2,-z'
'-y+1/2,-x+1/2,z'
loop_
_atom_site_label
_atom_site_fract_x
_atom_site_fract_y
_atom_site_fract_z
_atom_site_occupancy
Na1 0.250 0.250 0.169 1
Zn1 0.250 0.750 0.500 1
N1 0.250 0.250 0.617 1
O1 0.250 0.750 0.000 1
```

---

*one* takes first place; second place is 26.8 kJ/mol of atoms up.